No. 1
Na2PrSiO5: relaxed, PBE.

Cell and atoms, written as POSCAR:
```
Na2PrSiO5
1.0
9.5444 0.0000 0.0000
0.0000 7.5031 0.0000
0.0000 0.0000 6.6438
Na Pr Si O
8 4 4 20
direct
0.1820 0.0366 0.1092 Na
0.1820 0.4634 0.1092 Na
0.3180 0.5366 0.6092 Na
0.3180 0.9634 0.6092 Na
0.6820 0.0366 0.3908 Na
0.6820 0.4634 0.3908 Na
0.8180 0.5366 0.8908 Na
0.8180 0.9634 0.8908 Na
0.0406 0.2500 0.6263 Pr
0.4594 0.7500 0.1263 Pr
0.5406 0.2500 0.8737 Pr
0.9594 0.7500 0.3737 Pr
0.0896 0.7500 0.8198 Si
0.4104 0.2500 0.3198 Si
0.5896 0.7500 0.6802 Si
0.9104 0.2500 0.1802 Si
0.0193 0.2500 0.9902 O
0.0635 0.5751 0.6735 O
0.0635 0.9249 0.6735 O
0.2171 0.7500 0.2793 O
0.2462 0.2500 0.3998 O
0.2538 0.7500 0.8998 O
0.2829 0.2500 0.7793 O
0.4365 0.0751 0.1735 O
0.4365 0.4249 0.1735 O
0.4807 0.7500 0.4902 O
0.5193 0.2500 0.5098 O
0.5635 0.5751 0.8265 O
0.5635 0.9249 0.8265 O
0.7171 0.7500 0.2207 O
0.7462 0.2500 0.1003 O
0.7538 0.7500 0.6002 O
0.7829 0.2500 0.7207 O
0.9365 0.0751 0.3265 O
0.9365 0.4249 0.3265 O
0.9807 0.7500 0.0098 O
```

Values from the calculation:
ΔE_f (raw) (kJ per mole of atoms): -233.86

No. 2
Na2PrSmO4: relaxed, PBE.

Cell and atoms, written as POSCAR:
```
Na2PrSmO4
1.0
6.0053 0.0000 0.0000
0.0000 3.5795 0.0000
-2.1356 0.0000 5.8219
Na Pr Sm O
2 1 1 4
direct
0.0000 0.0000 0.0000 Na
0.0000 0.5000 0.5000 Na
0.5000 0.0000 0.5000 Pr
0.5000 0.5000 0.0000 Sm
0.2831 0.5000 0.2557 O
0.2844 0.0000 0.7663 O
0.7156 0.0000 0.2337 O
0.7169 0.5000 0.7443 O
```

Values from the calculation:
DOS at the Fermi energy (states/eV per cell): 0.00
ΔE_f (raw) (kJ per mole of atoms): -252.74

No. 3
NaPr2SnO5: relaxed, PBE.

Cell and atoms, written as POSCAR:
```
NaPr2SnO5
1.0
6.8990 0.0000 0.0000
0.0000 6.8990 0.0000
0.0000 0.0000 6.2297
Na Pr Sn O
2 4 2 10
direct
0.0000 0.0000 0.0000 Na
0.5000 0.5000 0.0000 Na
0.1777 0.3223 0.5000 Pr
0.3223 0.8223 0.5000 Pr
0.6777 0.1777 0.5000 Pr
0.8223 0.6777 0.5000 Pr
0.0000 0.5000 0.0000 Sn
0.5000 0.0000 0.0000 Sn
0.0000 0.0000 0.5000 O
0.1404 0.6404 0.2553 O
0.1404 0.6404 0.7447 O
0.3596 0.1404 0.2553 O
0.3596 0.1404 0.7447 O
0.5000 0.5000 0.5000 O
0.6404 0.8596 0.2553 O
0.6404 0.8596 0.7447 O
0.8596 0.3596 0.2553 O
0.8596 0.3596 0.7447 O
```

Values from the calculation:
DOS at the Fermi energy (states/eV per cell): 4.61
ΔE_f (raw) (kJ per mole of atoms): -213.82

No. 4
NaPr2SnO6: relaxed, PBE.

Cell and atoms, written as POSCAR:
```
NaPr2SnO6
1.0
5.7398 0.0000 0.0000
0.0000 6.0668 0.0000
-5.4325 0.0000 8.2985
Na Pr Sn O
2 4 2 12
direct
0.0000 0.0000 0.0000 Na
0.0000 0.5000 0.5000 Na
0.2157 0.0658 0.7425 Pr
0.2157 0.4342 0.2425 Pr
0.7843 0.5658 0.7575 Pr
0.7843 0.9342 0.2575 Pr
0.5000 0.0000 0.5000 Sn
0.5000 0.5000 0.0000 Sn
0.1496 0.1788 0.4428 O
0.1496 0.3212 0.9428 O
0.2434 0.7166 0.4177 O
0.2434 0.7834 0.9177 O
0.4066 0.0661 0.2695 O
0.4066 0.4339 0.7695 O
0.5934 0.5661 0.2305 O
0.5934 0.9339 0.7305 O
0.7566 0.2166 0.0823 O
0.7566 0.2834 0.5823 O
0.8504 0.6788 0.0572 O
0.8504 0.8212 0.5572 O
```

Values from the calculation:
DOS at the Fermi energy (states/eV per cell): 15.40
ΔE_f (raw) (kJ per mole of atoms): -225.26

No. 5
NaSr2PrO4: relaxed, PBE.

Cell and atoms, written as POSCAR:
```
NaSr2PrO4
1.0
6.1641 0.0000 0.0000
0.0000 3.6553 0.0000
-1.9418 0.0000 5.9139
Na Sr Pr O
1 2 1 4
direct
0.0000 0.0000 0.0000 Na
0.0000 0.5000 0.5000 Sr
0.5000 0.0000 0.5000 Sr
0.5000 0.5000 0.0000 Pr
0.2653 0.0000 0.7647 O
0.2702 0.5000 0.2527 O
0.7298 0.5000 0.7473 O
0.7347 0.0000 0.2353 O
```

Values from the calculation:
DOS at the Fermi energy (states/eV per cell): 0.00
ΔE_f (raw) (kJ per mole of atoms): -252.42

No. 6
Na3Tb2PrO6: relaxed, PBE.

Cell and atoms, written as POSCAR:
```
Na3Tb2PrO6
1.0
3.0393 -5.2688 0.0000
3.0393 5.2688 0.0000
-2.0165 0.0000 5.6137
Na Tb Pr O
3 2 1 6
direct
0.0000 0.0000 0.0000 Na
0.3277 0.6723 0.0000 Na
0.6723 0.3277 0.0000 Na
0.1665 0.8335 0.5000 Tb
0.8335 0.1665 0.5000 Tb
0.5000 0.5000 0.5000 Pr
0.0845 0.4293 0.2870 O
0.2260 0.2260 0.7144 O
0.4293 0.0845 0.2870 O
0.5707 0.9155 0.7130 O
0.7740 0.7740 0.2856 O
0.9155 0.5707 0.7130 O
```

Values from the calculation:
DOS at the Fermi energy (states/eV per cell): 0.00
ΔE_f (raw) (kJ per mole of atoms): -260.75

No. 7
NaPrTcO5: relaxed, PBE.

Cell and atoms, written as POSCAR:
```
NaPrTcO5
1.0
3.5882 -5.1105 0.0000
3.5882 5.1105 0.0000
-2.8490 0.0000 7.8006
Na Pr Tc O
2 2 2 10
direct
0.1922 0.8078 0.7500 Na
0.8078 0.1922 0.2500 Na
0.5000 0.5000 0.0000 Pr
0.5000 0.5000 0.5000 Pr
0.1804 0.8196 0.2500 Tc
0.8196 0.1804 0.7500 Tc
0.0738 0.2249 0.9168 O
0.1658 0.5849 0.3485 O
0.2249 0.0738 0.4168 O
0.4096 0.5904 0.7500 O
0.4151 0.8342 0.1515 O
0.5849 0.1658 0.8485 O
0.5904 0.4096 0.2500 O
0.7751 0.9262 0.5832 O
0.8342 0.4151 0.6515 O
0.9262 0.7751 0.0832 O
```

Values from the calculation:
DOS at the Fermi energy (states/eV per cell): 5.05
ΔE_f (raw) (kJ per mole of atoms): -190.41

No. 8
Na2PrTcO6: relaxed, PBE.

Cell and atoms, written as POSCAR:
```
Na2PrTcO6
1.0
5.6927 0.0000 0.0000
0.0000 5.9013 0.0000
-5.6279 0.0000 8.1927
Na Pr Tc O
4 2 2 12
direct
0.2427 0.0443 0.2544 Na
0.2427 0.4557 0.7544 Na
0.7573 0.5443 0.2456 Na
0.7573 0.9557 0.7456 Na
0.5000 0.0000 0.0000 Pr
0.5000 0.5000 0.5000 Pr
0.0000 0.0000 0.5000 Tc
0.0000 0.5000 0.0000 Tc
0.1034 0.2311 0.9378 O
0.1034 0.2689 0.4378 O
0.2248 0.6734 0.9525 O
0.2248 0.8266 0.4525 O
0.3220 0.0419 0.7195 O
0.3220 0.4581 0.2195 O
0.6780 0.5419 0.7805 O
0.6780 0.9581 0.2805 O
0.7752 0.1734 0.5475 O
0.7752 0.3266 0.0475 O
0.8966 0.7311 0.5622 O
0.8966 0.7689 0.0622 O
```

Values from the calculation:
ΔE_f (raw) (kJ per mole of atoms): -184.08